Below is an optimized crystal structure of Ba2LiMnO4, with properties calculated at the GGA+U level.

Output
- SG = I-4, No. 82
- uncorrected energy (eV per cell) = -98.59

Lattice parameters (Å, degrees): 6.0308 6.0308 7.0760 90.00 90.00 90.00
Fractional positions:
Ba 0.0000 0.0000 0.0000
Ba 0.0000 0.5000 0.2500
Ba 0.5000 0.0000 0.7500
Ba 0.5000 0.5000 0.5000
Li 0.0000 0.5000 0.7500
Li 0.5000 0.0000 0.2500
Mn 0.0000 0.0000 0.5000
Mn 0.5000 0.5000 0.0000
O 0.1631 0.2458 0.6054
O 0.2458 0.8369 0.3946
O 0.2542 0.6631 0.8946
O 0.3369 0.2542 0.1054
O 0.6631 0.7458 0.1054
O 0.7458 0.3369 0.8946
O 0.7542 0.1631 0.3946
O 0.8369 0.7542 0.6054